Density functional theory data (PBE-GGA) for CsYSe2F after structural relaxation.

```
CsYSe2F
1.0
-0.566 5.511 1.456
-4.104 -1.409 3.738
3.119 -0.532 3.224
Se Y F Cs
2 1 1 1
direct
0.500 0.000 0.000
0.000 0.500 0.000
0.000 0.000 0.000
0.000 0.000 0.500
0.500 0.500 0.500
```

Values from the calculation:
calculated total energy	-25.9	eV per formula unit
magnetization	0.84	Bohr magnetons per cell
Fermi-level density of states	4.9	states/eV per cell
formation energy (no corrections)	-1.95	eV/atom
calculated density	4.5	g/cm³